# 1
Pm2Te5Au2 after structural relaxation, computed with PBE-GGA.

Values from the calculation:
SG	Ima2
V	560.9	Å³/cell
calculated total energy	-76.6	eV per cell

Unit cell a=8.923 b=6.429 c=11.217 alpha=106.65 beta=113.44 gamma=90.00
Fractional positions:
Pm (0.146, 0.547, 0.233)
Pm (0.854, 0.313, 0.767)
Pm (0.587, 0.047, 0.233)
Pm (0.413, 0.813, 0.767)
Te (0.182, 0.666, 0.904)
Te (0.818, 0.762, 0.096)
Te (0.221, 0.166, 0.904)
Te (0.779, 0.262, 0.096)
Te (0.249, 0.065, 0.273)
Te (0.751, 0.792, 0.727)
Te (0.524, 0.565, 0.273)
Te (0.476, 0.292, 0.727)
Te (0.113, 0.744, 0.500)
Te (0.887, 0.244, 0.500)
Au (0.000, 0.065, 0.000)
Au (0.500, 0.565, 0.000)
Au (0.264, 0.382, 0.500)
Au (0.736, 0.882, 0.500)

# 2
PmTeAu2 after structural relaxation, computed with PBE-GGA.

Values from the calculation:
offset from the most stable computed form	0.0	meV/atom
SG	P4/mmm
V	95.0	Å³/cell
calculated total energy	-16.9	eV per cell

Unit cell a=4.957 b=4.377 c=4.377 alpha=90.00 beta=90.00 gamma=90.00
Fractional positions:
Te (0.500, 0.000, 0.000)
Au (0.000, 0.000, 0.500)
Au (0.000, 0.500, 0.000)
Pm (0.500, 0.500, 0.500)

# 3
Pm2Te3Au after structural relaxation, computed with PBE-GGA.

Values from the calculation:
offset from the most stable computed form	0.0	meV/atom
SG	Pnma
V	713.2	Å³/cell
calculated total energy	-116.2	eV per cell

Unit cell a=4.356 b=12.251 c=13.366 alpha=90.00 beta=90.00 gamma=90.00
Fractional positions:
Pm (0.250, 0.683, 0.475)
Pm (0.750, 0.317, 0.525)
Pm (0.750, 0.183, 0.025)
Pm (0.250, 0.817, 0.975)
Pm (0.250, 0.971, 0.285)
Pm (0.750, 0.029, 0.715)
Pm (0.750, 0.471, 0.215)
Pm (0.250, 0.529, 0.785)
Te (0.250, 0.377, 0.053)
Te (0.750, 0.623, 0.947)
Te (0.750, 0.877, 0.447)
Te (0.250, 0.123, 0.553)
Te (0.250, 0.669, 0.184)
Te (0.750, 0.331, 0.816)
Te (0.750, 0.169, 0.316)
Te (0.250, 0.831, 0.684)
Te (0.250, 0.438, 0.386)
Te (0.750, 0.562, 0.614)
Te (0.750, 0.938, 0.114)
Te (0.250, 0.062, 0.886)
Au (0.250, 0.200, 0.188)
Au (0.750, 0.800, 0.812)
Au (0.750, 0.700, 0.312)
Au (0.250, 0.300, 0.688)

# 4
PmTe3Au after structural relaxation, computed with PBE-GGA.

Values from the calculation:
SG	P2_1/c
V	627.9	Å³/cell
calculated total energy	-84.2	eV per cell

Unit cell a=7.939 b=8.440 c=9.462 alpha=90.00 beta=82.01 gamma=90.00
Fractional positions:
Pm (0.975, 0.656, 0.226)
Pm (0.525, 0.156, 0.274)
Pm (0.025, 0.344, 0.774)
Pm (0.475, 0.844, 0.726)
Te (0.217, 0.622, 0.555)
Te (0.283, 0.122, 0.945)
Te (0.783, 0.378, 0.445)
Te (0.717, 0.878, 0.055)
Te (0.823, 0.004, 0.771)
Te (0.677, 0.504, 0.729)
Te (0.177, 0.996, 0.229)
Te (0.323, 0.496, 0.271)
Te (0.668, 0.839, 0.406)
Te (0.832, 0.339, 0.094)
Te (0.332, 0.161, 0.594)
Te (0.168, 0.661, 0.906)
Au (0.456, 0.686, 0.031)
Au (0.044, 0.186, 0.469)
Au (0.544, 0.314, 0.969)
Au (0.956, 0.814, 0.531)

# 5
PmTe2Au after structural relaxation, computed with PBE-GGA.

Values from the calculation:
SG	P2_1/c
V	457.0	Å³/cell
calculated total energy	-72.2	eV per cell

Unit cell a=6.759 b=8.584 c=7.877 alpha=90.00 beta=90.00 gamma=90.04
Fractional positions:
Pm (0.821, 0.250, 0.957)
Pm (0.179, 0.250, 0.457)
Pm (0.179, 0.750, 0.043)
Pm (0.821, 0.750, 0.543)
Te (0.081, 0.000, 0.750)
Te (0.919, 0.500, 0.250)
Te (0.919, 0.000, 0.250)
Te (0.081, 0.500, 0.750)
Te (0.362, 0.250, 0.076)
Te (0.362, 0.750, 0.424)
Te (0.638, 0.750, 0.924)
Te (0.638, 0.250, 0.576)
Au (0.503, 0.000, 0.750)
Au (0.497, 0.000, 0.250)
Au (0.497, 0.500, 0.250)
Au (0.503, 0.500, 0.750)

# 6
PmTeAu4 after structural relaxation, computed with PBE-GGA.

Values from the calculation:
SG	F-43m
V	131.3	Å³/cell
calculated total energy	-23.6	eV per cell

Unit cell a=5.705 b=5.705 c=5.705 alpha=60.00 beta=60.00 gamma=60.00
Fractional positions:
Te (0.250, 0.250, 0.250)
Au (0.625, 0.625, 0.125)
Au (0.625, 0.125, 0.625)
Au (0.625, 0.625, 0.625)
Au (0.125, 0.625, 0.625)
Pm (0.000, 0.000, 0.000)

# 7
Pm3Te12Au5 after structural relaxation, computed with PBE-GGA.

Values from the calculation:
SG	Ia-3d
V	2599.7	Å³/cell
calculated total energy	-309.8	eV per cell

Unit cell a=15.003 b=15.003 c=15.003 alpha=109.47 beta=109.47 gamma=109.47
Fractional positions:
Pm (0.750, 0.375, 0.125)
Pm (0.875, 0.750, 0.125)
Pm (0.375, 0.750, 0.625)
Pm (0.250, 0.125, 0.375)
Pm (0.875, 0.125, 0.250)
Pm (0.375, 0.625, 0.250)
Pm (0.625, 0.375, 0.750)
Pm (0.125, 0.875, 0.750)
Pm (0.750, 0.875, 0.625)
Pm (0.625, 0.250, 0.375)
Pm (0.125, 0.250, 0.875)
Pm (0.250, 0.625, 0.875)
Au (0.125, 0.375, 0.250)
Au (0.000, 0.500, 0.000)
Au (0.000, 0.000, 0.000)
Au (0.375, 0.250, 0.125)
Au (0.500, 0.000, 0.500)
Au (0.500, 0.500, 0.000)
Au (0.125, 0.750, 0.375)
Au (0.750, 0.125, 0.875)
Au (0.750, 0.625, 0.375)
Au (0.375, 0.125, 0.750)
Au (0.625, 0.875, 0.250)
Au (0.500, 0.500, 0.500)
Au (0.500, 0.000, 0.000)
Au (0.000, 0.000, 0.500)
Au (0.250, 0.375, 0.625)
Au (0.250, 0.875, 0.125)
Au (0.000, 0.500, 0.500)
Au (0.875, 0.250, 0.625)
Au (0.625, 0.750, 0.875)
Au (0.875, 0.625, 0.750)
Te (0.711, 0.129, 0.041)
Te (0.330, 0.541, 0.411)
Te (0.959, 0.371, 0.289)
Te (0.541, 0.211, 0.129)
Te (0.582, 0.711, 0.670)
Te (0.959, 0.589, 0.170)
Te (0.330, 0.789, 0.418)
Te (0.089, 0.918, 0.129)
Te (0.589, 0.959, 0.670)
Te (0.711, 0.582, 0.170)
Te (0.789, 0.459, 0.371)
Te (0.830, 0.911, 0.041)
Te (0.129, 0.711, 0.541)
Te (0.371, 0.411, 0.082)
Te (0.082, 0.911, 0.371)
Te (0.418, 0.129, 0.589)
Te (0.082, 0.170, 0.211)
Te (0.459, 0.670, 0.089)
Te (0.830, 0.918, 0.289)
Te (0.129, 0.418, 0.089)
Te (0.371, 0.959, 0.789)
Te (0.589, 0.629, 0.418)
Te (0.911, 0.830, 0.541)
Te (0.789, 0.330, 0.918)
Te (0.411, 0.371, 0.582)
Te (0.089, 0.170, 0.459)
Te (0.211, 0.670, 0.082)
Te (0.170, 0.082, 0.711)
Te (0.629, 0.041, 0.211)
Te (0.871, 0.582, 0.911)
Te (0.541, 0.330, 0.911)
Te (0.582, 0.871, 0.411)
Te (0.918, 0.830, 0.789)
Te (0.918, 0.089, 0.629)
Te (0.871, 0.289, 0.459)
Te (0.170, 0.089, 0.959)
Te (0.629, 0.589, 0.918)
Te (0.411, 0.041, 0.330)
Te (0.289, 0.418, 0.830)
Te (0.211, 0.541, 0.629)
Te (0.911, 0.082, 0.871)
Te (0.670, 0.211, 0.582)
Te (0.459, 0.789, 0.871)
Te (0.041, 0.411, 0.830)
Te (0.418, 0.289, 0.330)
Te (0.041, 0.629, 0.711)
Te (0.670, 0.459, 0.589)
Te (0.289, 0.871, 0.959)

# 8
Pm5Te4Au after structural relaxation, computed with PBE-GGA.

Values from the calculation:
offset from the most stable computed form	33.3	meV/atom
SG	I4/mmm
V	309.2	Å³/cell
calculated total energy	-52.3	eV per cell

Unit cell a=4.438 b=4.438 c=16.007 alpha=97.97 beta=97.97 gamma=90.00
Fractional positions:
Pm (0.096, 0.096, 0.193)
Pm (0.500, 0.500, 0.000)
Pm (0.904, 0.904, 0.807)
Pm (0.299, 0.299, 0.598)
Pm (0.701, 0.701, 0.402)
Te (0.399, 0.399, 0.798)
Te (0.802, 0.802, 0.605)
Te (0.198, 0.198, 0.395)
Te (0.601, 0.601, 0.202)
Au (0.000, 0.000, 0.000)

# 9
Pm3Te2Au after structural relaxation, computed with PBE-GGA.

Values from the calculation:
SG	C2/m
V	366.6	Å³/cell
calculated total energy	-62.0	eV per cell

Unit cell a=7.588 b=7.588 c=7.784 alpha=99.40 beta=99.40 gamma=120.06
Fractional positions:
Pm (0.601, 0.934, 0.766)
Pm (0.066, 0.399, 0.234)
Pm (0.908, 0.586, 0.761)
Pm (0.252, 0.241, 0.761)
Pm (0.414, 0.092, 0.239)
Pm (0.759, 0.748, 0.239)
Te (0.833, 0.167, 0.500)
Te (0.333, 0.667, 0.000)
Te (0.174, 0.826, 0.500)
Te (0.493, 0.507, 0.500)
Au (0.002, 0.998, 0.000)
Au (0.665, 0.335, 0.000)

# 10
Pm2TeAu after structural relaxation, computed with PBE-GGA.

Values from the calculation:
offset from the most stable computed form	27.8	meV/atom
SG	R-3m
V	120.4	Å³/cell
calculated total energy	-20.2	eV per cell

Unit cell a=4.275 b=4.275 c=7.996 alpha=74.53 beta=74.53 gamma=59.99
Fractional positions:
Pm (0.745, 0.745, 0.767)
Pm (0.255, 0.255, 0.233)
Te (0.500, 0.500, 0.500)
Au (0.000, 0.000, 0.000)

# 11
Pm2TeAu after structural relaxation, computed with PBE-GGA.

Values from the calculation:
offset from the most stable computed form	58.9	meV/atom
SG	R3m
V	121.5	Å³/cell
calculated total energy	-20.0	eV per cell

Unit cell a=4.257 b=4.257 c=8.120 alpha=74.80 beta=74.80 gamma=60.00
Fractional positions:
Pm (0.076, 0.076, 0.772)
Pm (0.257, 0.257, 0.228)
Te (0.499, 0.499, 0.503)
Au (0.668, 0.668, 0.997)

# 12
Pm5Te4Au after structural relaxation, computed with PBE-GGA.

Values from the calculation:
offset from the most stable computed form	0.0	meV/atom
SG	I4/m
V	309.0	Å³/cell
calculated total energy	-52.6	eV per cell

Unit cell a=6.307 b=7.677 c=7.677 alpha=80.29 beta=65.75 gamma=65.75
Fractional positions:
Pm (0.902, 0.386, 0.813)
Pm (0.287, 0.813, 0.614)
Pm (0.715, 0.187, 0.386)
Pm (0.100, 0.614, 0.187)
Pm (0.501, 0.000, 0.000)
Te (0.408, 0.397, 0.788)
Te (0.806, 0.788, 0.603)
Te (0.196, 0.212, 0.397)
Te (0.594, 0.603, 0.212)
Au (0.001, 0.000, 0.000)

# 13
PmTe2Au after structural relaxation, computed with PBE-GGA.

Values from the calculation:
SG	P4/mmm
V	103.1	Å³/cell
calculated total energy	-17.2	eV per cell

Unit cell a=4.067 b=5.035 c=5.035 alpha=90.00 beta=90.00 gamma=90.00
Fractional positions:
Te (0.000, 0.000, 0.500)
Te (0.000, 0.500, 0.000)
Au (0.500, 0.000, 0.000)
Pm (0.500, 0.500, 0.500)

# 14
Pm2TeAu after structural relaxation, computed with PBE-GGA.

Values from the calculation:
offset from the most stable computed form	0.0	meV/atom
SG	Cmcm
V	231.2	Å³/cell
calculated total energy	-40.6	eV per cell

Unit cell a=4.657 b=4.152 c=12.137 alpha=99.85 beta=90.00 gamma=90.00
Fractional positions:
Pm (0.750, 0.672, 0.345)
Pm (0.250, 0.328, 0.655)
Pm (0.750, 0.939, 0.879)
Pm (0.250, 0.061, 0.121)
Te (0.250, 0.193, 0.386)
Te (0.750, 0.807, 0.614)
Au (0.250, 0.458, 0.916)
Au (0.750, 0.542, 0.084)

# 15
PmTe3Au2 after structural relaxation, computed with PBE-GGA.

Values from the calculation:
SG	C2/m
V	372.1	Å³/cell
calculated total energy	-48.5	eV per cell

Unit cell a=4.300 b=7.808 c=11.405 alpha=98.20 beta=100.87 gamma=90.00
Fractional positions:
Pm (0.350, 0.964, 0.701)
Pm (0.650, 0.036, 0.299)
Te (0.248, 0.215, 0.496)
Te (0.076, 0.807, 0.153)
Te (0.418, 0.632, 0.836)
Te (0.752, 0.785, 0.504)
Te (0.582, 0.368, 0.164)
Te (0.924, 0.193, 0.847)
Au (0.295, 0.564, 0.591)
Au (0.705, 0.436, 0.409)
Au (0.949, 0.852, 0.898)
Au (0.051, 0.148, 0.102)

# 16
PmTe2Au after structural relaxation, computed with PBE-GGA.

Values from the calculation:
SG	R3m
V	118.1	Å³/cell
calculated total energy	-17.1	eV per cell

Unit cell a=4.351 b=4.351 c=7.627 alpha=73.43 beta=73.43 gamma=60.00
Fractional positions:
Pm (0.503, 0.503, 0.492)
Te (0.076, 0.076, 0.772)
Te (0.257, 0.257, 0.229)
Au (0.665, 0.665, 0.006)

# 17
PmTe2Au after structural relaxation, computed with PBE-GGA.

Values from the calculation:
SG	R-3m
V	161.8	Å³/cell
calculated total energy	-17.6	eV per cell

Unit cell a=4.697 b=4.697 c=8.892 alpha=74.69 beta=74.69 gamma=60.00
Fractional positions:
Te (0.102, 0.102, 0.694)
Te (0.898, 0.898, 0.306)
Au (0.000, 0.000, 0.000)
Pm (0.500, 0.500, 0.500)

# 18
PmTeAu2 after structural relaxation, computed with PBE-GGA.

Values from the calculation:
offset from the most stable computed form	47.7	meV/atom
SG	R-3m
V	100.1	Å³/cell
calculated total energy	-16.7	eV per cell

Unit cell a=4.728 b=4.728 c=5.846 alpha=66.15 beta=66.15 gamma=60.00
Fractional positions:
Te (0.000, 0.000, 0.000)
Au (0.741, 0.741, 0.777)
Au (0.259, 0.259, 0.223)
Pm (0.500, 0.500, 0.500)

# 19
PmTeAu2 after structural relaxation, computed with PBE-GGA.

Values from the calculation:
offset from the most stable computed form	40.1	meV/atom
SG	Fm-3m
V	96.4	Å³/cell
calculated total energy	-16.8	eV per cell

Unit cell a=5.148 b=5.148 c=5.148 alpha=60.00 beta=60.00 gamma=60.00
Fractional positions:
Te (0.500, 0.500, 0.500)
Au (0.250, 0.250, 0.250)
Au (0.750, 0.750, 0.750)
Pm (0.000, 0.000, 0.000)

# 20
Pm2TeAu after structural relaxation, computed with PBE-GGA.

Values from the calculation:
offset from the most stable computed form	221.5	meV/atom
SG	Fm-3m
V	108.1	Å³/cell
calculated total energy	-19.4	eV per cell

Unit cell a=5.347 b=5.347 c=5.347 alpha=60.00 beta=60.00 gamma=60.00
Each line ends with the local moment (μB).
Fractional positions:
Te (0.000, 0.000, 0.000)  0.02
Au (0.500, 0.500, 0.500)  0.04
Pm (0.250, 0.250, 0.250)  0.33
Pm (0.750, 0.750, 0.750)  0.33